# V2H3O5

Crystalline V2H3O5 at its relaxed geometry (PBE with a Hubbard U, the Alexandria database).

Values from the calculation:
Its space group is No. 8. The calculation puts the total energy at -65.85 eV per formula unit. The value obtained for the magnetization is 3.00 Bohr magnetons per cell.

Cell lengths 6.3072, 6.3072, 4.8661 Å; angles 97.93, 97.93, 28.48 degrees
Fractional positions:
V 0.0000 0.0000 0.0000
V 0.7231 0.7231 0.2103
H 0.2104 0.2104 0.6625
H 0.3832 0.3832 0.6361
H 0.5242 0.5242 0.4576
O 0.1616 0.1616 0.9669
O 0.2474 0.2474 0.4896
O 0.4624 0.4624 0.7277
O 0.5541 0.5541 0.2732
O 0.8548 0.8548 0.1259